1.
Crystalline Sc5Rh at its relaxed geometry, computed with PBE-GGA.

Structure (POSCAR):
```
Sc5Rh
1.0
2.781 -4.817 0.000
2.781 4.817 0.000
0.000 0.000 4.743
Sc Rh
5 1
Direct
0.696 0.000 0.000 Sc
0.304 0.304 0.000 Sc
0.000 0.696 0.000 Sc
0.667 0.333 0.500 Sc
0.333 0.667 0.500 Sc
0.000 0.000 0.500 Rh
```

Values from the calculation:
* theoretical density: 4.28 Mg/m³
* symmetry: P-62m, No. 189
* energy relative to the lowest polymorph listed for this composition: 135 meV per atom
* volume: 21.17 Å³/atom
* formation energy from the elements: -0.192 eV/atom



2.
Crystalline Sc3Rh at its relaxed geometry, computed with PBE-GGA.

Structure (POSCAR):
```
Sc3Rh
1.0
4.308 0.000 0.000
0.000 4.308 0.000
0.000 0.000 4.308
Rh Sc
1 3
Direct
0.000 0.000 0.000 Rh
0.000 0.500 0.500 Sc
0.500 0.000 0.500 Sc
0.500 0.500 0.000 Sc
```

Values from the calculation:
* theoretical density: 4.94 Mg/m³
* symmetry: Pm-3m, No. 221
* volume: 19.98 Å³/atom
* formation energy from the elements: -0.323 eV/atom



3.
Crystalline Sc3Rh at its relaxed geometry, computed with PBE-GGA.

Structure (POSCAR):
```
Sc3Rh
1.0
-6.538 3.698 -0.503
-0.471 -1.394 -4.120
7.150 -6.712 1.453
Rh Sc
1 3
Direct
0.000 0.000 0.000 Rh
0.283 0.500 0.057 Sc
0.500 0.000 0.000 Sc
0.717 0.500 0.943 Sc
```

Values from the calculation:
* theoretical density: 4.87 Mg/m³
* symmetry: P2/m, No. 10
* volume: 20.26 Å³/atom
* formation energy from the elements: -0.360 eV/atom